1.
Density functional theory data (PBE-GGA) for a relaxed structure of Th2Cl.

a = 8.570 Å, b = 8.570 Å, c = 8.570 Å
α = 60.00°, β = 60.00°, γ = 60.00°
Sites, in units of the cell vectors:
Th 0.000 0.000 0.000
Th 0.000 0.000 0.500
Th 0.000 0.500 0.000
Th 0.500 0.000 0.000
Cl 0.125 0.125 0.125
Cl 0.875 0.875 0.875

* total moment: 5.0 μB/cell
* uncorrected energy: -24.78 eV/cell
* space-group type: Fd-3m, No. 227
* volume: 74.18 Å³/atom



2.
Density functional theory data (PBE-GGA) for a relaxed structure of Zn3Sn.

a = 4.413 Å, b = 5.879 Å, c = 5.671 Å
α = 90.00°, β = 90.00°, γ = 90.00°
Sites, in units of the cell vectors:
Zn 0.250 0.001 0.140
Zn 0.250 0.250 0.750
Zn 0.250 0.499 0.140
Zn 0.750 0.501 0.860
Zn 0.750 0.750 0.250
Zn 0.750 0.999 0.860
Sn 0.250 0.750 0.604
Sn 0.750 0.250 0.396

* uncorrected energy: -14.76 eV/cell
* space-group type: Pmmn, No. 59
* volume: 18.39 Å³/atom



3.
Density functional theory data (PBE-GGA) for a relaxed structure of RbSiOs.

a = 4.603 Å, b = 4.603 Å, c = 4.603 Å
α = 60.00°, β = 60.00°, γ = 60.00°
Sites, in units of the cell vectors:
Rb 0.000 0.000 0.000
Si 0.750 0.750 0.750
Os 0.500 0.500 0.500

* total moment: 0.0 μB/cell
* energy above the most stable polymorph in this dataset: 174 meV/atom
* space-group type: F-43m, No. 216
* volume: 22.99 Å³/atom



4.
Density functional theory data (PBE-GGA) for a relaxed structure of RbNiAuSe2S.

a = 8.028 Å, b = 8.028 Å, c = 10.450 Å
α = 90.00°, β = 90.00°, γ = 153.17°
Sites, in units of the cell vectors:
Rb 0.225 0.775 0.750
Rb 0.775 0.225 0.250
Ni 0.500 0.500 0.000
Ni 0.500 0.500 0.500
Au 0.084 0.916 0.250
Au 0.916 0.084 0.750
Se 0.099 0.901 0.015
Se 0.099 0.901 0.485
Se 0.901 0.099 0.515
Se 0.901 0.099 0.985
S 0.465 0.535 0.250
S 0.535 0.465 0.750

* total moment: 0.2 μB/cell
* uncorrected energy: -44.61 eV/cell
* space-group type: Cmcm, No. 63
* volume: 25.33 Å³/atom